# 1
# LiTl2SiF6

A relaxed LiTl2SiF6 crystal (PBE, the Alexandria database).

Computed properties:
- Raw total energy: -4.835 eV/atom
- Calculated density: 5.915 g/cm³

Unit cell a=4.759 b=4.759 c=7.014 alpha=90.00 beta=90.00 gamma=99.64
Element x y z (fractional)
Li1 0.000 0.000 0.000
Tl1 0.256 0.744 0.500
Tl2 0.744 0.256 0.500
Si1 0.500 0.500 0.000
F1 0.266 0.734 0.000
F2 0.299 0.299 0.173
F3 0.299 0.299 0.827
F4 0.701 0.701 0.173
F5 0.701 0.701 0.827
F6 0.734 0.266 0.000

# 2
# Ca2Ag2SnPd5

A relaxed Ca2Ag2SnPd5 crystal (PBE, the Alexandria database).

Computed properties:
- Raw total energy: -4.446 eV/atom
- Calculated density: 8.124 g/cm³

Unit cell a=9.813 b=9.813 c=4.019 alpha=90.00 beta=90.00 gamma=90.00
Element x y z (fractional)
Ca1 0.170 0.330 0.000
Ca2 0.330 0.830 0.000
Ca3 0.670 0.170 0.000
Ca4 0.830 0.670 0.000
Ag1 0.130 0.630 0.000
Ag2 0.370 0.130 0.000
Ag3 0.630 0.870 0.000
Ag4 0.870 0.370 0.000
Sn1 0.000 0.000 0.000
Sn2 0.500 0.500 0.000
Pd1 0.000 0.500 0.500
Pd2 0.060 0.803 0.500
Pd3 0.197 0.060 0.500
Pd4 0.303 0.560 0.500
Pd5 0.440 0.303 0.500
Pd6 0.500 0.000 0.500
Pd7 0.560 0.697 0.500
Pd8 0.697 0.440 0.500
Pd9 0.803 0.940 0.500
Pd10 0.940 0.197 0.500

# 3
# YAuSe2

A relaxed YAuSe2 crystal (PBE, the Alexandria database).

Computed properties:
- Raw total energy: -5.296 eV/atom
- Calculated density: 7.883 g/cm³

Unit cell a=7.472 b=3.959 c=12.640 alpha=90.00 beta=90.00 gamma=90.00
Element x y z (fractional)
Y1 0.159 0.250 0.159
Y2 0.341 0.750 0.659
Y3 0.659 0.250 0.341
Y4 0.841 0.750 0.841
Au1 0.110 0.750 0.452
Au2 0.390 0.250 0.952
Au3 0.610 0.750 0.048
Au4 0.890 0.250 0.548
Se1 0.068 0.250 0.731
Se2 0.165 0.750 0.986
Se3 0.335 0.250 0.486
Se4 0.432 0.750 0.231
Se5 0.568 0.250 0.769
Se6 0.665 0.750 0.514
Se7 0.835 0.250 0.014
Se8 0.932 0.750 0.269

# 4
# HfZnSe2Br

A relaxed HfZnSe2Br crystal (PBE, the Alexandria database).

Computed properties:
- Calculated density: 6.807 g/cm³
- Energy above the most stable polymorph in this dataset: 0.691 eV/atom

Unit cell a=4.949 b=4.949 c=4.798 alpha=90.00 beta=90.00 gamma=90.00
Element x y z (fractional)
Hf1 0.000 0.000 0.000
Zn1 0.500 0.500 0.500
Se1 0.000 0.500 0.500
Se2 0.500 0.000 0.500
Br1 0.500 0.500 0.000

# 5
# Y2MnCdOs

A relaxed Y2MnCdOs crystal (PBE, the Alexandria database).

Computed properties:
- Raw total energy: -6.494 eV/atom
- Calculated density: 7.440 g/cm³

Unit cell a=5.222 b=5.222 c=4.381 alpha=90.00 beta=90.00 gamma=90.00
Element x y z (fractional)
Y1 0.000 0.500 0.000
Y2 0.500 0.000 0.000
Mn1 0.000 0.000 0.000
Cd1 0.500 0.500 0.500
Os1 0.000 0.000 0.500

# 6
# Ta2AlPb

A relaxed Ta2AlPb crystal (PBE, the Alexandria database).

Computed properties:
- Raw total energy: -7.458 eV/atom
- Calculated density: 12.802 g/cm³

Unit cell a=5.923 b=9.190 c=3.005 alpha=90.00 beta=109.02 gamma=90.00
Element x y z (fractional)
Ta1 0.250 0.250 0.000
Ta2 0.250 0.750 0.000
Ta3 0.750 0.250 0.000
Ta4 0.750 0.750 0.000
Al1 0.000 0.000 0.500
Al2 0.500 0.500 0.500
Pb1 0.000 0.500 0.500
Pb2 0.500 0.000 0.500

# 7
# IrPbW2

A relaxed IrPbW2 crystal (PBE, the Alexandria database).

Computed properties:
- Raw total energy: -8.601 eV/atom
- Calculated density: 16.378 g/cm³

Unit cell a=7.482 b=7.482 c=5.558 alpha=90.00 beta=90.00 gamma=90.00
Element x y z (fractional)
Ir1 0.000 0.000 0.000
Ir2 0.000 0.500 0.250
Ir3 0.500 0.000 0.750
Ir4 0.500 0.500 0.500
Pb1 0.000 0.000 0.500
Pb2 0.000 0.500 0.750
Pb3 0.500 0.000 0.250
Pb4 0.500 0.500 0.000
W1 0.213 0.250 0.125
W2 0.250 0.713 0.375
W3 0.250 0.787 0.875
W4 0.287 0.250 0.625
W5 0.713 0.750 0.625
W6 0.750 0.213 0.875
W7 0.750 0.287 0.375
W8 0.787 0.750 0.125

# 8
# YAl2Ag

A relaxed YAl2Ag crystal (PBE, the Alexandria database).

Computed properties:
- Raw total energy: -4.426 eV/atom
- Calculated density: 5.245 g/cm³

Unit cell a=3.256 b=3.256 c=7.488 alpha=90.00 beta=90.00 gamma=90.00
Element x y z (fractional)
Y1 0.000 0.000 0.000
Al1 0.500 0.500 0.288
Al2 0.500 0.500 0.712
Ag1 0.000 0.000 0.500

# 9
# ThPaAg2O8

A relaxed ThPaAg2O8 crystal (PBE, the Alexandria database).

Computed properties:
- Raw total energy: -6.907 eV/atom
- Calculated density: 7.039 g/cm³

Unit cell a=6.278 b=6.278 c=6.278 alpha=108.71 beta=108.71 gamma=111.00
Element x y z (fractional)
Th1 0.000 0.000 0.000
Pa1 0.250 0.750 0.500
Ag1 0.500 0.500 0.000
Ag2 0.750 0.250 0.500
O1 0.274 0.084 0.810
O2 0.274 0.465 0.190
O3 0.345 0.019 0.326
O4 0.535 0.726 0.810
O5 0.693 0.019 0.674
O6 0.916 0.726 0.190
O7 0.981 0.307 0.326
O8 0.981 0.655 0.674

# 10
# YPb2F

A relaxed YPb2F crystal (PBE, the Alexandria database).

Computed properties:
- Calculated density: 8.538 g/cm³
- Energy above the most stable polymorph in this dataset: 0.000 eV/atom

Unit cell a=7.407 b=7.407 c=7.407 alpha=90.00 beta=90.00 gamma=90.00
Element x y z (fractional)
Y1 0.000 0.000 0.000
Y2 0.000 0.500 0.500
Y3 0.500 0.000 0.500
Y4 0.500 0.500 0.000
Pb1 0.250 0.250 0.250
Pb2 0.250 0.250 0.750
Pb3 0.250 0.750 0.250
Pb4 0.250 0.750 0.750
Pb5 0.750 0.250 0.250
Pb6 0.750 0.250 0.750
Pb7 0.750 0.750 0.250
Pb8 0.750 0.750 0.750
F1 0.000 0.000 0.500
F2 0.000 0.500 0.000
F3 0.500 0.000 0.000
F4 0.500 0.500 0.500

# 11
# In2Te4Pb

A relaxed In2Te4Pb crystal (PBE, the Alexandria database).

Computed properties:
- Calculated density: 5.345 g/cm³
- Energy above the most stable polymorph in this dataset: 0.041 eV/atom

Unit cell a=6.373 b=6.373 c=7.245 alpha=90.00 beta=90.00 gamma=90.00
Element x y z (fractional)
In1 0.000 0.500 0.000
In2 0.500 0.000 0.000
Te1 0.219 0.219 0.760
Te2 0.219 0.781 0.240
Te3 0.781 0.219 0.240
Te4 0.781 0.781 0.760
Pb1 0.500 0.500 0.500

# 12
# LiBeSb2P

A relaxed LiBeSb2P crystal (PBE, the Alexandria database).

Computed properties:
- Raw total energy: -3.017 eV/atom
- Calculated density: 4.580 g/cm³

Unit cell a=4.996 b=4.996 c=4.220 alpha=90.00 beta=90.00 gamma=90.00
Element x y z (fractional)
Li1 0.000 0.000 0.000
Be1 0.500 0.500 0.500
Sb1 0.000 0.500 0.000
Sb2 0.500 0.000 0.000
P1 0.000 0.000 0.500

# 13
# La2GeSb3Ir4

A relaxed La2GeSb3Ir4 crystal (PBE, the Alexandria database).

Computed properties:
- Raw total energy: -6.918 eV/atom
- Calculated density: 11.537 g/cm³

Unit cell a=4.464 b=4.464 c=10.724 alpha=90.00 beta=90.00 gamma=90.00
Element x y z (fractional)
La1 0.000 0.500 0.244
La2 0.500 0.000 0.756
Ge1 0.500 0.500 0.000
Sb1 0.000 0.000 0.000
Sb2 0.000 0.500 0.638
Sb3 0.500 0.000 0.362
Ir1 0.000 0.000 0.500
Ir2 0.000 0.500 0.880
Ir3 0.500 0.000 0.120
Ir4 0.500 0.500 0.500

# 14
# ZrPI

A relaxed ZrPI crystal (PBE, the Alexandria database).

Computed properties:
- Calculated density: 4.427 g/cm³
- Energy above the most stable polymorph in this dataset: 0.090 eV/atom

Unit cell a=8.411 b=3.833 c=11.756 alpha=90.00 beta=99.60 gamma=90.00
Element x y z (fractional)
Zr1 0.248 0.000 0.369
Zr2 0.252 0.500 0.631
Zr3 0.748 0.500 0.369
Zr4 0.752 0.000 0.631
P1 0.067 0.500 0.424
P2 0.433 0.000 0.576
P3 0.567 0.000 0.424
P4 0.933 0.500 0.576
I1 0.238 0.000 0.822
I2 0.262 0.500 0.178
I3 0.738 0.500 0.822
I4 0.762 0.000 0.178

# 15
# ZrReAs2Br

A relaxed ZrReAs2Br crystal (PBE, the Alexandria database).

Computed properties:
- Calculated density: 7.043 g/cm³
- Energy above the most stable polymorph in this dataset: 0.000 eV/atom

Unit cell a=4.764 b=4.764 c=5.270 alpha=90.00 beta=90.00 gamma=90.00
Element x y z (fractional)
Zr1 0.000 0.000 0.000
Re1 0.500 0.500 0.500
As1 0.000 0.500 0.500
As2 0.500 0.000 0.500
Br1 0.500 0.500 0.000

# 16
# Ca2TlN

A relaxed Ca2TlN crystal (PBE, the Alexandria database).

Computed properties:
- Raw total energy: -4.267 eV/atom
- Calculated density: 4.901 g/cm³

Unit cell a=3.579 b=3.579 c=27.347 alpha=90.00 beta=90.00 gamma=120.00
Element x y z (fractional)
Ca1 0.000 0.000 0.121
Ca2 0.000 0.000 0.879
Ca3 0.333 0.667 0.546
Ca4 0.333 0.667 0.787
Ca5 0.667 0.333 0.213
Ca6 0.667 0.333 0.454
Tl1 0.000 0.000 0.000
Tl2 0.333 0.667 0.667
Tl3 0.667 0.333 0.333
N1 0.000 0.000 0.500
N2 0.333 0.667 0.167
N3 0.667 0.333 0.833

# 17
# MgTl2As

A relaxed MgTl2As crystal (PBE, the Alexandria database).

Computed properties:
- Calculated density: 8.081 g/cm³
- Energy above the most stable polymorph in this dataset: 0.021 eV/atom

Unit cell a=3.398 b=3.886 c=7.906 alpha=90.00 beta=90.00 gamma=90.00
Element x y z (fractional)
Mg1 0.000 0.000 0.000
Tl1 0.000 0.000 0.587
Tl2 0.500 0.500 0.273
As1 0.500 0.500 0.865

# 18
# Ga4BiSb

A relaxed Ga4BiSb crystal (PBE, the Alexandria database).

Computed properties:
- Raw total energy: -3.235 eV/atom
- Calculated density: 7.423 g/cm³

Unit cell a=5.778 b=5.778 c=5.778 alpha=60.00 beta=60.00 gamma=60.00
Element x y z (fractional)
Ga1 0.125 0.125 0.125
Ga2 0.125 0.125 0.625
Ga3 0.125 0.625 0.125
Ga4 0.625 0.125 0.125
Bi1 0.750 0.750 0.750
Sb1 0.500 0.500 0.500

# 19
# NaSr2CdPt

A relaxed NaSr2CdPt crystal (PBE, the Alexandria database).

Computed properties:
- Calculated density: 4.523 g/cm³
- Energy above the most stable polymorph in this dataset: 0.089 eV/atom

Unit cell a=5.835 b=5.835 c=5.454 alpha=90.00 beta=90.00 gamma=90.00
Element x y z (fractional)
Na1 0.000 0.000 0.000
Sr1 0.000 0.500 0.500
Sr2 0.500 0.000 0.500
Cd1 0.500 0.500 0.000
Pt1 0.000 0.000 0.500

# 20
# KMnTc2Pb

A relaxed KMnTc2Pb crystal (PBE, the Alexandria database).

Computed properties:
- Raw total energy: -5.569 eV/atom
- Calculated density: 7.626 g/cm³

Unit cell a=4.491 b=4.491 c=5.368 alpha=90.00 beta=90.00 gamma=90.00
Element x y z (fractional)
K1 0.000 0.000 0.000
Mn1 0.000 0.000 0.500
Tc1 0.000 0.500 0.500
Tc2 0.500 0.000 0.500
Pb1 0.500 0.500 0.000

The records above give, respectively, total magnetization values of 0.00; 0.00; 0.00; 0.66; 0.01; 0.00; 0.00; 0.31; 0.00; 0.00; 0.00; 0.00; 0.00; 0.00; 2.11; 0.00; 0.00; 0.00; 0.00; 0.00 μB per cell.